A relaxed InWBr crystal. Source: Alexandria, functional PBE.

Unit cell a=6.643 b=6.643 c=6.643 alpha=90.00 beta=90.00 gamma=90.00
Space group F-43m (No. 216)
Asymmetric unit:
In: 0.000 0.000 0.000
W: 0.250 0.250 0.750
Br: 0.000 0.000 0.500

## Properties
The volume comes out at 24.4 Å³/atom. The total DFT energy (no corrections) comes out at -4.44 eV/atom. The value obtained for the uncorrected formation energy is 1.346 eV/atom. The energy above the most stable polymorph in this dataset comes out at 825 meV per atom.

A relaxed ZnFe4C crystal. Source: Alexandria, functional PBE.

Unit cell a=11.652 b=4.622 c=5.108 alpha=90.00 beta=107.15 gamma=90.00
Space group C2/c (No. 15)
Asymmetric unit:
Zn: 0.000 0.087 0.250
Fe: 0.094 0.420 0.952
Fe: 0.201 0.096 0.638
C: 0.250 0.250 0.000

## Properties
The volume comes out at 11.0 Å³/atom. The total DFT energy (no corrections) comes out at -7.35 eV/atom. The value obtained for the energy of formation is 46 meV/atom.

A relaxed ZrTa2Ir crystal. Source: Alexandria, functional PBE.

Unit cell a=2.946 b=4.632 c=5.360 alpha=90.00 beta=101.32 gamma=90.00
Space group P2/m (No. 10)
Asymmetric unit:
Zr: 0.000 0.000 0.000
Ta: 0.263 0.500 0.748
Ir: 0.500 0.000 0.500

## Properties
The volume comes out at 17.9 Å³/atom. The total DFT energy (no corrections) comes out at -10.52 eV/atom. The value obtained for the energy of formation is -239 meV/atom.

A relaxed TmCd2Hg3 crystal. Source: Alexandria, functional PBE.

Unit cell a=5.1004 b=5.1004 c=12.4170 alpha=90.00 beta=90.00 gamma=120.00
Space group P-3m1 (No. 164)
Asymmetric unit:
Tm: 0.3333 0.6667 0.1618
Cd: 0.0000 0.0000 0.0000
Cd: 0.0000 0.0000 0.5000
Cd: 0.3333 0.6667 0.6680
Hg: 0.0000 0.0000 0.2505
Hg: 0.3333 0.6667 0.4137
Hg: 0.3333 0.6667 0.9140

## Properties
The volume comes out at 23.3 Å³/atom. The total DFT energy (no corrections) comes out at -1.40 eV/atom. The value obtained for the energy of formation is -201 meV/atom. The energy above the most stable polymorph in this dataset comes out at 0 meV per atom.

A relaxed K2AcCu2O4 crystal. Source: Alexandria, functional PBE.

Unit cell a=12.513 b=4.030 c=9.189 alpha=90.00 beta=130.94 gamma=90.00
Space group C2/m (No. 12)
Asymmetric unit:
K: 0.120 0.000 0.458
Ac: 0.000 0.500 0.000
Cu: 0.190 0.500 0.805
O: 0.031 0.500 0.765
O: 0.167 0.000 0.197

## Properties
The volume comes out at 19.4 Å³/atom. The total DFT energy (no corrections) comes out at -5.38 eV/atom. The value obtained for the uncorrected formation energy is -1.566 eV/atom.

A relaxed LiScNb2 crystal. Source: Alexandria, functional PBE.

Unit cell a=3.854 b=3.854 c=20.769 alpha=90.00 beta=90.00 gamma=90.00
Space group I-42d (No. 122)
Asymmetric unit:
Li: 0.000 0.000 0.000
Sc: 0.000 0.000 0.500
Nb: 0.250 0.250 0.375

## Properties
The volume comes out at 19.3 Å³/atom. The total DFT energy (no corrections) comes out at -6.58 eV/atom. The value obtained for the energy of formation is 520 meV/atom. The energy above the most stable polymorph in this dataset comes out at 0 meV per atom.

A relaxed AlCdAg2H crystal. Source: Alexandria, functional PBE.

Unit cell a=4.278 b=4.278 c=4.234 alpha=90.00 beta=90.00 gamma=90.00
Space group P4/mmm (No. 123)
Asymmetric unit:
Al: 0.000 0.000 0.000
Cd: 0.500 0.500 0.000
Ag: 0.000 0.500 0.500
H: 0.000 0.000 0.500

## Properties
The volume comes out at 15.5 Å³/atom. The total DFT energy (no corrections) comes out at -2.50 eV/atom.

A relaxed Ca2LaRe crystal. Source: Alexandria, functional PBE.

Unit cell a=8.431 b=4.896 c=6.122 alpha=90.00 beta=117.52 gamma=90.00
Space group Cm (No. 8)
Asymmetric unit:
Ca: 0.000 0.000 0.000
Ca: 0.218 0.000 0.651
La: 0.262 0.500 0.287
Re: 0.441 0.000 0.320

## Properties
The volume comes out at 28.0 Å³/atom. The total DFT energy (no corrections) comes out at -4.93 eV/atom. The value obtained for the energy of formation is 417 meV/atom. The energy above the most stable polymorph in this dataset comes out at 11 meV per atom.

A relaxed SbSCl crystal. Source: Alexandria, functional PBE.

Unit cell a=5.823 b=3.976 c=7.994 alpha=90.00 beta=107.92 gamma=90.00
Space group P2_1/m (No. 11)
Asymmetric unit:
Sb: 0.064 0.250 0.313
S: 0.263 0.750 0.545
Cl: 0.206 0.250 0.895

## Properties
The volume comes out at 29.3 Å³/atom. The total DFT energy (no corrections) comes out at -3.89 eV/atom. The value obtained for the uncorrected formation energy is -0.527 eV/atom.

A relaxed NdNpPa2As4 crystal. Source: Alexandria, functional PBE.

Unit cell a=7.156 b=4.146 c=7.184 alpha=90.00 beta=109.54 gamma=90.00
Space group P2/m (No. 10)
Asymmetric unit:
Nd: 0.000 0.000 0.000
Np: 0.000 0.500 0.500
Pa: 0.500 0.000 0.500
Pa: 0.500 0.500 0.000
As: 0.256 0.000 0.748
As: 0.260 0.500 0.257

## Properties
The volume comes out at 25.1 Å³/atom. The total DFT energy (no corrections) comes out at -7.99 eV/atom. The value obtained for the energy of formation is -1075 meV/atom.

A relaxed ZrPaMo crystal. Source: Alexandria, functional PBE.

Unit cell a=4.9150 b=4.9150 c=19.2655 alpha=90.00 beta=90.00 gamma=120.00
Space group R-3m (No. 166, hexagonal axes)
Asymmetric unit:
Zr: 0.0000 0.0000 0.1340
Pa: 0.0000 0.0000 0.2957
Mo: 0.0000 0.0000 0.4317

## Properties
The volume comes out at 22.4 Å³/atom. The total DFT energy (no corrections) comes out at -9.47 eV/atom. The value obtained for the energy of formation is 159 meV/atom. The energy above the most stable polymorph in this dataset comes out at 160 meV per atom.

A relaxed La2HgPtO6 crystal. Source: Alexandria, functional PBE.

Unit cell a=5.791 b=5.802 c=5.803 alpha=63.31 beta=63.34 gamma=63.41
Space group P-1 (No. 2)
Asymmetric unit:
La: 0.232 0.232 0.232
Hg: 0.500 0.500 0.500
Pt: 0.000 0.000 0.000
O: 0.115 0.803 0.344
O: 0.199 0.656 0.885
O: 0.344 0.116 0.802

## Properties
The volume comes out at 14.8 Å³/atom. The total DFT energy (no corrections) comes out at -6.51 eV/atom. The value obtained for the uncorrected formation energy is -1.912 eV/atom.